Record 1
# BaCaBe2Ru

An optimized crystal structure of BaCaBe2Ru (GGA-PBEsol, the Alexandria database).

a = 4.8005 Å, b = 4.8005 Å, c = 5.7087 Å
α = 90.00°, β = 90.00°, γ = 90.00°
Closest atoms and distances in Å follow each position.
Fractional positions:
Ru 0.5000 0.5000 0.5000  4 Ba 3.39, 8 Be 3.73
Ca 0.0000 0.0000 0.0000  4 Be 2.40
Ba 0.0000 0.0000 0.5000  2 Ca 2.85
Be 0.0000 0.5000 0.0000  2 Ca 2.40
Be 0.5000 0.0000 0.0000  2 Ca 2.40

- E_form: 2.191 eV per atom

***

Record 2
# BaBeCd2

An optimized crystal structure of BaBeCd2 (GGA-PBEsol, the Alexandria database).

a = 4.5258 Å, b = 4.5258 Å, c = 5.1729 Å
α = 90.00°, β = 90.00°, γ = 90.00°
Closest atoms and distances in Å follow each position.
Fractional positions:
Be 0.0000 0.0000 0.5000  4 Ba 3.20, 8 Cd 3.44
Ba 0.5000 0.5000 0.5000  4 Be 3.20, 8 Cd 3.44
Cd 0.0000 0.5000 0.0000  4 Cd 3.20, 4 Ba 3.44, 4 Be 3.44
Cd 0.5000 0.0000 0.0000  4 Cd 3.20, 4 Ba 3.44, 4 Be 3.44

- E_form: 0.393 eV per atom

***

Record 3
# BaBeCd2

An optimized crystal structure of BaBeCd2 (GGA-PBEsol, the Alexandria database).

a = 3.3984 Å, b = 3.3984 Å, c = 8.0219 Å
α = 90.00°, β = 90.00°, γ = 90.00°
Closest atoms and distances in Å follow each position.
Fractional positions:
Be 0.5000 0.5000 0.8282  4 Cd 2.61
Ba 0.0000 0.0000 0.5237  4 Ba 3.40, 4 Be 3.43, 5 Cd 3.45-3.57
Cd 0.0000 0.0000 0.9543  4 Be 2.61
Cd 0.5000 0.5000 0.1938  1 Be 2.93, 4 Cd 3.08

- E_form: 0.202 eV per atom

***

Record 4
# BaBeCd

An optimized crystal structure of BaBeCd (GGA-PBEsol, the Alexandria database).

a = 5.2774 Å, b = 5.2774 Å, c = 5.2774 Å
α = 60.00°, β = 60.00°, γ = 60.00°
Closest atoms and distances in Å follow each position.
Fractional positions:
Be 0.0000 0.0000 0.0000  4 Ba 3.23
Ba 0.2500 0.2500 0.2500  4 Cd 3.23, 4 Be 3.23
Cd 0.5000 0.5000 0.5000  4 Ba 3.23

- E_form: 0.850 eV per atom

***

Record 5
# BaBe2CdSb

An optimized crystal structure of BaBe2CdSb (GGA-PBEsol, the Alexandria database).

a = 4.7318 Å, b = 4.7318 Å, c = 5.7284 Å
α = 90.00°, β = 90.00°, γ = 90.00°
Closest atoms and distances in Å follow each position.
Fractional positions:
Sb 0.0000 0.0000 0.5000  2 Cd 2.86
Be 0.0000 0.5000 0.0000  2 Cd 2.37
Be 0.5000 0.0000 0.0000  2 Cd 2.37
Ba 0.5000 0.5000 0.5000  4 Sb 3.35, 8 Be 3.72
Cd 0.0000 0.0000 0.0000  4 Be 2.37

- Formation energy without anion corrections: 0.41 eV per atom

***

Record 6
# BaBeCd2Te

An optimized crystal structure of BaBeCd2Te (GGA-PBEsol, the Alexandria database).

a = 6.2810 Å, b = 6.8024 Å, c = 6.8024 Å
α = 90.00°, β = 90.00°, γ = 90.00°
Closest atoms and distances in Å follow each position.
Fractional positions:
Be 0.5000 0.5000 0.5000  8 Cd 4.63, 4 Te 4.81
Te 0.5000 0.0000 0.0000  2 Ba 3.14
Ba 0.0000 0.0000 0.0000  2 Te 3.14, 4 Cd 3.40
Cd 0.0000 0.0000 0.5000  2 Ba 3.40
Cd 0.0000 0.5000 0.0000  2 Ba 3.40

- Formation energy without anion corrections: 0.94 eV per atom

***

Record 7
# BaBeCl2

An optimized crystal structure of BaBeCl2 (GGA-PBEsol, the Alexandria database).

a = 4.4904 Å, b = 4.3545 Å, c = 6.0196 Å
α = 111.20°, β = 111.90°, γ = 90.00°
Closest atoms and distances in Å follow each position.
Fractional positions:
Be 0.2473 0.7473 0.4945  8 Cl 3.13-3.49, 4 Ba 3.35-3.43
Ba 0.4948 0.4948 0.9895  8 Cl 3.13-3.42, 4 Be 3.35-3.43
Cl 0.0069 0.0069 0.0138  4 Ba 3.13, 4 Be 3.29-3.49, 4 Cl 3.37-3.42
Cl 0.7511 0.2511 0.5022  4 Be 3.13, 4 Ba 3.37-3.42, 4 Cl 3.37-3.42

- Formation energy without anion corrections: -0.86 eV per atom

***

Record 8
# BaBe2Cl

An optimized crystal structure of BaBe2Cl (GGA-PBEsol, the Alexandria database).

a = 4.1092 Å, b = 4.1092 Å, c = 6.5013 Å
α = 108.42°, β = 108.42°, γ = 90.00°
Closest atoms and distances in Å follow each position.
Fractional positions:
Be 0.7500 0.2500 0.5000  4 Be 2.91
Be 0.2500 0.7500 0.5000  4 Be 2.91
Ba 0.0000 0.0000 0.0000  4 Cl 2.91
Cl 0.5000 0.5000 0.0000  4 Ba 2.91

- Formation energy without anion corrections: 0.20 eV per atom
- Offset from the most stable computed form: 395 meV per atom

***

Record 9
# Ba3BeCl

An optimized crystal structure of Ba3BeCl (GGA-PBEsol, the Alexandria database).

a = 5.8894 Å, b = 5.8894 Å, c = 5.8894 Å
α = 90.00°, β = 90.00°, γ = 90.00°
Closest atoms and distances in Å follow each position.
Fractional positions:
Be 0.5000 0.5000 0.5000  12 Ba 4.16
Ba 0.0000 0.5000 0.0000  2 Cl 2.94
Ba 0.0000 0.0000 0.5000  2 Cl 2.94
Ba 0.5000 0.0000 0.0000  2 Cl 2.94
Cl 0.0000 0.0000 0.0000  6 Ba 2.94

- Formation energy without anion corrections: -0.19 eV per atom

***

Record 10
# BaBe2Cl

An optimized crystal structure of BaBe2Cl (GGA-PBEsol, the Alexandria database).

a = 4.1129 Å, b = 4.1129 Å, c = 6.0169 Å
α = 90.00°, β = 90.00°, γ = 90.00°
Closest atoms and distances in Å follow each position.
Fractional positions:
Be 0.0000 0.0000 0.8240  1 Be 2.12
Be 0.0000 0.0000 0.1760  1 Be 2.12
Ba 0.5000 0.5000 0.5000  2 Cl 3.01
Cl 0.5000 0.5000 0.0000  2 Ba 3.01, 8 Be 3.10

- Formation energy without anion corrections: 0.43 eV per atom
- Offset from the most stable computed form: 621 meV per atom

***

Record 11
# BaBe2Cl

An optimized crystal structure of BaBe2Cl (GGA-PBEsol, the Alexandria database).

a = 4.3722 Å, b = 4.2453 Å, c = 5.3038 Å
α = 90.00°, β = 114.34°, γ = 90.00°
Closest atoms and distances in Å follow each position.
Fractional positions:
Be 0.7777 0.5000 0.5553  1 Cl 2.15, 2 Be 2.25
Be 0.2223 0.5000 0.4447  1 Cl 2.15, 2 Be 2.25
Ba 0.5000 0.0000 0.0000  4 Cl 3.05
Cl 0.0000 0.5000 0.0000  2 Be 2.15

- Formation energy without anion corrections: -0.19 eV per atom
- Offset from the most stable computed form: 0 meV per atom

***

Record 12
# BaBe2Cl

An optimized crystal structure of BaBe2Cl (GGA-PBEsol, the Alexandria database).

a = 4.2518 Å, b = 5.2709 Å, c = 5.2709 Å
α = 71.86°, β = 66.21°, γ = 66.21°
Closest atoms and distances in Å follow each position.
Fractional positions:
Be 0.8493 0.1507 0.1507  2 Be 2.13, 1 Cl 2.16
Be 0.3481 0.1519 0.1519  2 Be 2.13
Ba 0.7444 0.7556 0.7556  3 Be 2.93-3.19, 2 Cl 3.15
Cl 0.5582 0.4418 0.4418  1 Be 2.16

- Formation energy without anion corrections: 0.00 eV per atom
- Offset from the most stable computed form: 193 meV per atom

***

What is the formula in the ninth record? Ba3BeCl